[1]
Below is a relaxed structure of NaSrAcBr6, with properties calculated at the PBE level.

CIF file:
```
data_NaSrAcBr6
_symmetry_space_group_name_H-M 'P 42 n m'
_symmetry_Int_Tables_number 102
_cell_length_a 7.158
_cell_length_b 7.158
_cell_length_c 13.890
_cell_angle_alpha 90.00
_cell_angle_beta 90.00
_cell_angle_gamma 90.00
loop_
_symmetry_equiv_pos_as_xyz
'x,y,z'
'-y+1/2,x+1/2,z+1/2'
'-x,-y,z'
'y+1/2,-x+1/2,z+1/2'
'-x+1/2,y+1/2,z+1/2'
'y,x,z'
'x+1/2,-y+1/2,z+1/2'
'-y,-x,z'
loop_
_atom_site_label
_atom_site_type_symbol
_atom_site_fract_x
_atom_site_fract_y
_atom_site_fract_z
_atom_site_occupancy
Na1 Na 0.000 0.000 0.000 1
Sr1 Sr 0.000 0.000 0.333 1
Ac1 Ac 0.000 0.000 0.668 1
Br1 Br 0.196 0.196 0.835 1
Br2 Br 0.197 0.197 0.502 1
Br3 Br 0.198 0.198 0.165 1
```

Values from the calculation:
**Crystal system**: tetragonal
**Raw formation energy**: -1.94 eV per atom
**E**: -0.141 Ha/atom
**DOS(E_F)**: 0.0 states/eV per cell

---

[2]
Below is a relaxed structure of NaAcTl2Br6, with properties calculated at the PBE level.

CIF file:
```
data_NaAcTl2Br6
_symmetry_space_group_name_H-M 'P 1 21/c 1'
_symmetry_Int_Tables_number 14
_cell_length_a 7.859
_cell_length_b 8.375
_cell_length_c 13.631
_cell_angle_alpha 90.00
_cell_angle_beta 123.43
_cell_angle_gamma 90.00
loop_
_symmetry_equiv_pos_as_xyz
'x,y,z'
'-x,-y,-z'
'-x,y+1/2,-z+1/2'
'x,-y+1/2,z+1/2'
loop_
_atom_site_label
_atom_site_type_symbol
_atom_site_fract_x
_atom_site_fract_y
_atom_site_fract_z
_atom_site_occupancy
Na1 Na 0.000 0.000 0.000 1
Ac1 Ac 0.500 0.000 0.500 1
Tl1 Tl 0.211 0.080 0.741 1
Br1 Br 0.128 0.193 0.442 1
Br2 Br 0.245 0.697 0.434 1
Br3 Br 0.376 0.042 0.247 1
```

Values from the calculation:
**Crystal system**: monoclinic
**Raw formation energy**: -1.47 eV per atom
**E**: -0.128 Ha/atom
**DOS(E_F)**: 0.0 states/eV per cell

---

[3]
Below is a relaxed structure of Na2AcTlBr6, with properties calculated at the PBE level.

CIF file:
```
data_Na2AcTlBr6
_symmetry_space_group_name_H-M 'R 3'
_symmetry_Int_Tables_number 146
_symmetry_space_group_name_Hall 'R 3'
_cell_length_a 7.8073
_cell_length_b 7.8073
_cell_length_c 21.1139
_cell_angle_alpha 90.00
_cell_angle_beta 90.00
_cell_angle_gamma 120.00
loop_
_atom_site_label
_atom_site_type_symbol
_atom_site_fract_x
_atom_site_fract_y
_atom_site_fract_z
_atom_site_occupancy
Na1 Na 0.0000 0.0000 0.0000 1
Na2 Na 0.0000 0.0000 0.4912 1
Ac1 Ac 0.0000 0.0000 0.6882 1
Tl1 Tl 0.0000 0.0000 0.2018 1
Br1 Br 0.0075 0.3202 0.0879 1
Br2 Br 0.0188 0.6158 0.2584 1
```

Values from the calculation:
**Crystal system**: trigonal
**Raw formation energy**: -1.60 eV per atom
**E**: -0.129 Ha/atom
**DOS(E_F)**: 0.0 states/eV per cell

---

[4]
Below is a relaxed structure of AcNbBrO4, with properties calculated at the PBE level.

CIF file:
```
data_AcNbBrO4
_symmetry_space_group_name_H-M 'C 1 2/m 1'
_symmetry_Int_Tables_number 12
_cell_length_a 12.877
_cell_length_b 6.967
_cell_length_c 7.440
_cell_angle_alpha 90.00
_cell_angle_beta 102.73
_cell_angle_gamma 90.00
loop_
_symmetry_equiv_pos_as_xyz
'x,y,z'
'-x,-y,-z'
'-x,y,-z'
'x,-y,z'
'x+1/2,y+1/2,z'
'-x+1/2,-y+1/2,-z'
'-x+1/2,y+1/2,-z'
'x+1/2,-y+1/2,z'
loop_
_atom_site_label
_atom_site_type_symbol
_atom_site_fract_x
_atom_site_fract_y
_atom_site_fract_z
_atom_site_occupancy
Ac1 Ac 0.210 0.000 0.330 1
Nb1 Nb 0.128 0.000 0.751 1
Br1 Br 0.009 0.500 0.158 1
O1 O 0.019 0.000 0.280 1
O2 O 0.178 0.206 0.624 1
O3 O 0.192 0.000 0.000 1
```

Values from the calculation:
**Crystal system**: monoclinic
**Raw formation energy**: -2.52 eV per atom
**E**: -0.280 Ha/atom

---

[5]
Below is a relaxed structure of AcNdBr6, with properties calculated at the PBE level.

CIF file:
```
data_AcNdBr6
_symmetry_space_group_name_H-M 'R -3'
_symmetry_Int_Tables_number 148
_symmetry_space_group_name_Hall '-R 3'
_cell_length_a 7.3782
_cell_length_b 7.3782
_cell_length_c 20.4949
_cell_angle_alpha 90.00
_cell_angle_beta 90.00
_cell_angle_gamma 120.00
loop_
_atom_site_label
_atom_site_type_symbol
_atom_site_fract_x
_atom_site_fract_y
_atom_site_fract_z
_atom_site_occupancy
Ac1 Ac 0.0000 0.0000 0.0000 1
Nd1 Nd 0.0000 0.0000 0.5000 1
Br1 Br 0.0021 0.6774 0.4186 1
```

Values from the calculation:
**Crystal system**: trigonal
**Raw formation energy**: -1.91 eV per atom
**E**: -0.157 Ha/atom
**DOS(E_F)**: 0.0 states/eV per cell

---

[6]
Below is a relaxed structure of AcNd2Br8, with properties calculated at the PBE level.

CIF file:
```
data_AcNd2Br8
_symmetry_space_group_name_H-M 'C 1 2/m 1'
_symmetry_Int_Tables_number 12
_cell_length_a 9.098
_cell_length_b 13.340
_cell_length_c 5.761
_cell_angle_alpha 90.00
_cell_angle_beta 106.78
_cell_angle_gamma 90.00
loop_
_symmetry_equiv_pos_as_xyz
'x,y,z'
'-x,-y,-z'
'-x,y,-z'
'x,-y,z'
'x+1/2,y+1/2,z'
'-x+1/2,-y+1/2,-z'
'-x+1/2,y+1/2,-z'
'x+1/2,-y+1/2,z'
loop_
_atom_site_label
_atom_site_type_symbol
_atom_site_fract_x
_atom_site_fract_y
_atom_site_fract_z
_atom_site_occupancy
Ac1 Ac 0.000 0.000 0.000 1
Nd1 Nd 0.000 0.317 0.500 1
Br1 Br 0.000 0.236 0.000 1
Br2 Br 0.132 0.500 0.824 1
Br3 Br 0.192 0.128 0.576 1
```

Values from the calculation:
**Crystal system**: monoclinic
**Raw formation energy**: -1.74 eV per atom
**E**: -0.154 Ha/atom
**DOS(E_F)**: 7.3 states/eV per cell

---

[7]
Below is a relaxed structure of Ac2NdBrO4, with properties calculated at the PBE level.

CIF file:
```
data_Ac2NdBrO4
_symmetry_space_group_name_H-M 'P 4/m m m'
_symmetry_Int_Tables_number 123
_symmetry_space_group_name_Hall '-P 4 2'
_cell_length_a 4.168
_cell_length_b 4.168
_cell_length_c 9.823
_cell_angle_alpha 90.00
_cell_angle_beta 90.00
_cell_angle_gamma 90.00
loop_
_atom_site_label
_atom_site_type_symbol
_atom_site_fract_x
_atom_site_fract_y
_atom_site_fract_z
_atom_site_occupancy
Ac1 Ac 0.000 0.000 0.239 1
Nd1 Nd 0.500 0.500 0.500 1
Br1 Br 0.500 0.500 0.000 1
O1 O 0.000 0.500 0.353 1
```

Values from the calculation:
**Crystal system**: tetragonal
**Raw formation energy**: -3.15 eV per atom
**E**: -0.274 Ha/atom
**DOS(E_F)**: 0.0 states/eV per cell

---

[8]
Below is a relaxed structure of AcNdOsBr, with properties calculated at the PBE level.

CIF file:
```
data_AcNdOsBr
_symmetry_space_group_name_H-M 'R 3 m'
_symmetry_Int_Tables_number 160
_symmetry_space_group_name_Hall 'R 3 -2"'
_cell_length_a 4.2255
_cell_length_b 4.2255
_cell_length_c 24.3115
_cell_angle_alpha 90.00
_cell_angle_beta 90.00
_cell_angle_gamma 120.00
loop_
_atom_site_label
_atom_site_type_symbol
_atom_site_fract_x
_atom_site_fract_y
_atom_site_fract_z
_atom_site_occupancy
Ac1 Ac 0.0000 0.0000 0.0000 1
Nd1 Nd 0.0000 0.0000 0.2042 1
Os1 Os 0.0000 0.0000 0.5992 1
Br1 Br 0.0000 0.0000 0.7751 1
```

Values from the calculation:
**Crystal system**: trigonal
**Raw formation energy**: -0.62 eV per atom
**E**: -0.223 Ha/atom
**DOS(E_F)**: 9.1 states/eV per cell

---

[9]
Below is a relaxed structure of AcNdPtBr, with properties calculated at the PBE level.

CIF file:
```
data_AcNdPtBr
_symmetry_space_group_name_H-M 'R 3 m'
_symmetry_Int_Tables_number 160
_symmetry_space_group_name_Hall 'R 3 -2"'
_cell_length_a 4.3172
_cell_length_b 4.3172
_cell_length_c 24.2719
_cell_angle_alpha 90.00
_cell_angle_beta 90.00
_cell_angle_gamma 120.00
loop_
_atom_site_label
_atom_site_type_symbol
_atom_site_fract_x
_atom_site_fract_y
_atom_site_fract_z
_atom_site_occupancy
Ac1 Ac 0.0000 0.0000 0.0000 1
Nd1 Nd 0.0000 0.0000 0.7973 1
Pt1 Pt 0.0000 0.0000 0.4025 1
Br1 Br 0.0000 0.0000 0.2261 1
```

Values from the calculation:
**Crystal system**: trigonal
**Raw formation energy**: -1.27 eV per atom
**E**: -0.199 Ha/atom
**DOS(E_F)**: 10.2 states/eV per cell

---

[10]
Below is a relaxed structure of AcNdRhBr, with properties calculated at the PBE level.

CIF file:
```
data_AcNdRhBr
_symmetry_space_group_name_H-M 'R 3 m'
_symmetry_Int_Tables_number 160
_symmetry_space_group_name_Hall 'R 3 -2"'
_cell_length_a 4.2164
_cell_length_b 4.2164
_cell_length_c 24.4611
_cell_angle_alpha 90.00
_cell_angle_beta 90.00
_cell_angle_gamma 120.00
loop_
_atom_site_label
_atom_site_type_symbol
_atom_site_fract_x
_atom_site_fract_y
_atom_site_fract_z
_atom_site_occupancy
Ac1 Ac 0.0000 0.0000 0.0000 1
Nd1 Nd 0.0000 0.0000 0.2044 1
Rh1 Rh 0.0000 0.0000 0.5997 1
Br1 Br 0.0000 0.0000 0.7777 1
```

Values from the calculation:
**Crystal system**: trigonal
**Raw formation energy**: -1.11 eV per atom
**E**: -0.205 Ha/atom
**DOS(E_F)**: 0.7 states/eV per cell

---

[11]
Below is a relaxed structure of Ac2NdRh2Br2, with properties calculated at the PBE level.

CIF file:
```
data_Ac2NdRh2Br2
_symmetry_space_group_name_H-M 'I 4/m m m'
_symmetry_Int_Tables_number 139
_symmetry_space_group_name_Hall '-I 4 2'
_cell_length_a 5.259
_cell_length_b 5.259
_cell_length_c 16.545
_cell_angle_alpha 90.00
_cell_angle_beta 90.00
_cell_angle_gamma 90.00
loop_
_atom_site_label
_atom_site_type_symbol
_atom_site_fract_x
_atom_site_fract_y
_atom_site_fract_z
_atom_site_occupancy
Ac1 Ac 0.000 0.000 0.113 1
Nd1 Nd 0.000 0.000 0.500 1
Rh1 Rh 0.000 0.500 0.000 1
Br1 Br 0.000 0.000 0.306 1
```

Values from the calculation:
**Crystal system**: tetragonal
**Raw formation energy**: -0.93 eV per atom
**E**: -0.197 Ha/atom
**DOS(E_F)**: 6.8 states/eV per cell

---

[12]
Below is a relaxed structure of AcNdRuBr, with properties calculated at the PBE level.

CIF file:
```
data_AcNdRuBr
_symmetry_space_group_name_H-M 'R 3 m'
_symmetry_Int_Tables_number 160
_symmetry_space_group_name_Hall 'R 3 -2"'
_cell_length_a 4.1798
_cell_length_b 4.1798
_cell_length_c 24.4681
_cell_angle_alpha 90.00
_cell_angle_beta 90.00
_cell_angle_gamma 120.00
loop_
_atom_site_label
_atom_site_type_symbol
_atom_site_fract_x
_atom_site_fract_y
_atom_site_fract_z
_atom_site_occupancy
Ac1 Ac 0.0000 0.0000 0.0000 1
Nd1 Nd 0.0000 0.0000 0.2039 1
Ru1 Ru 0.0000 0.0000 0.5996 1
Br1 Br 0.0000 0.0000 0.7750 1
```

Values from the calculation:
**Crystal system**: trigonal
**Raw formation energy**: -0.76 eV per atom
**E**: -0.210 Ha/atom
**DOS(E_F)**: 8.5 states/eV per cell

---

Question: What is the formula in the first record?
Answer: NaSrAcBr6

---

Question: Among the records above, which one has the lowest raw formation energy?
Answer: Ac2NdBrO4